# SmGa2SiRh2, optimized geometry, DFT GGA-PBE
data_SmGa2SiRh2
_chemical_formula_sum 'Sm1 Ga2 Si1 Rh2'
_cell_length_a 4.504
_cell_length_b 4.504
_cell_length_c 5.577
_cell_angle_alpha 90.00
_cell_angle_beta 90.00
_cell_angle_gamma 90.00
_space_group_name_H-M_alt 'P 4/m m m'
_space_group_IT_number 123
_space_group_name_Hall '-P 4 2'
loop_
_atom_site_label
_atom_site_type_symbol
_atom_site_fract_x
_atom_site_fract_y
_atom_site_fract_z
Sm1 Sm 0.000 0.000 0.000
Ga1 Ga 0.500 0.500 0.236
Si1 Si 0.000 0.000 0.500
Rh1 Rh 0.000 0.500 0.500
# * V: 18.85 A^3/atom
# * DOS(E_F): 5.2 states/eV per cell
# * total magnetic moment: 0.0 μB/f.u.
# * raw formation energy: -555 meV/atom
# * VASP energy: -5.7052 eV/atom